Here is a relaxed structure of La2Nd5SmHo from Alexandria via LeMat-Bulk. Energies are from PBE.

Calculated values
- N(E_F) (states/eV/cell) = 27.88
- SG = No. 140
- magnetic moment (Bohr magnetons per cell) = 0.0
- E_form (eV/atom) = 0.247

a = 10.349 Å, b = 10.349 Å, c = 10.349 Å
α = 130.00°, β = 130.00°, γ = 73.41°
Atoms (fractional coordinates):
La 0.120 0.620 0.741
La 0.380 0.120 0.500
La 0.620 0.880 0.500
La 0.880 0.380 0.259
Nd 0.000 0.000 0.000
Nd 0.076 0.137 0.500
Nd 0.137 0.637 0.061
Nd 0.363 0.424 0.500
Nd 0.424 0.924 0.061
Nd 0.500 0.500 0.000
Nd 0.576 0.076 0.939
Nd 0.637 0.576 0.500
Nd 0.863 0.363 0.939
Nd 0.924 0.863 0.500
Sm 0.250 0.250 0.000
Sm 0.750 0.750 0.000
Ho 0.250 0.750 0.500
Ho 0.750 0.250 0.500

Here is a relaxed structure of La2Nd3Sm6Ho from Alexandria via LeMat-Bulk. Energies are from PBE.

Calculated values
- N(E_F) (states/eV/cell) = 18.05
- SG = No. 12
- magnetic moment (Bohr magnetons per cell) = 0.0
- E_form (eV/atom) = 0.016

a = 6.332 Å, b = 6.332 Å, c = 12.117 Å
α = 95.02°, β = 95.02°, γ = 119.98°
Atoms (fractional coordinates):
La 0.167 0.833 0.000
La 0.833 0.167 0.000
Nd 0.000 0.000 0.500
Nd 0.333 0.667 0.500
Nd 0.667 0.333 0.500
Sm 0.085 0.417 0.750
Sm 0.251 0.251 0.251
Sm 0.417 0.085 0.750
Sm 0.583 0.915 0.250
Sm 0.749 0.749 0.749
Sm 0.915 0.583 0.250
Ho 0.500 0.500 0.000

Here is a relaxed structure of La2NdSm2Ho2 from Alexandria via LeMat-Bulk. Energies are from PBE.

Calculated values
- N(E_F) (states/eV/cell) = 11.59
- SG = No. 12
- magnetic moment (Bohr magnetons per cell) = 0.0
- E_form (eV/atom) = 0.025

a = 6.302 Å, b = 6.302 Å, c = 8.169 Å
α = 97.29°, β = 97.29°, γ = 48.15°
Atoms (fractional coordinates):
La 0.142 0.142 0.427
La 0.858 0.858 0.573
Nd 0.000 0.000 0.000
Sm 0.285 0.285 0.860
Sm 0.715 0.715 0.140
Ho 0.429 0.429 0.284
Ho 0.571 0.571 0.716

Here is a relaxed structure of La3Nd2Sm6Ho from Alexandria via LeMat-Bulk. Energies are from PBE.

Calculated values
- N(E_F) (states/eV/cell) = 18.95
- SG = No. 12
- magnetic moment (Bohr magnetons per cell) = 0.0
- E_form (eV/atom) = 0.016

a = 6.341 Å, b = 6.341 Å, c = 12.129 Å
α = 95.03°, β = 95.03°, γ = 120.03°
Atoms (fractional coordinates):
La 0.000 0.000 0.000
La 0.333 0.667 0.000
La 0.667 0.333 0.000
Nd 0.167 0.833 0.500
Nd 0.833 0.167 0.500
Sm 0.086 0.418 0.253
Sm 0.250 0.250 0.747
Sm 0.418 0.086 0.253
Sm 0.582 0.914 0.747
Sm 0.750 0.750 0.253
Sm 0.914 0.582 0.747
Ho 0.500 0.500 0.500

Here is a relaxed structure of LaNd4Sm2Ho from Alexandria via LeMat-Bulk. Energies are from PBE.

Calculated values
- N(E_F) (states/eV/cell) = 12.66
- SG = No. 10
- magnetic moment (Bohr magnetons per cell) = 0.0
- E_form (eV/atom) = 0.017

a = 6.309 Å, b = 3.672 Å, c = 12.152 Å
α = 90.00°, β = 100.24°, γ = 90.00°
Atoms (fractional coordinates):
La 0.000 0.000 0.000
Nd 0.250 0.000 0.751
Nd 0.252 0.500 0.252
Nd 0.748 0.500 0.748
Nd 0.750 0.000 0.249
Sm 0.000 0.500 0.500
Sm 0.500 0.000 0.500
Ho 0.500 0.500 0.000

Here is a relaxed structure of LaNdSmHo from Alexandria via LeMat-Bulk. Energies are from PBE.

Calculated values
- N(E_F) (states/eV/cell) = 4.65
- SG = No. 156
- magnetic moment (Bohr magnetons per cell) = 0.0
- E_form (eV/atom) = 0.019

a = 3.659 Å, b = 3.659 Å, c = 11.834 Å
α = 90.00°, β = 90.00°, γ = 120.00°
Atoms (fractional coordinates):
La 0.000 0.000 0.000
Nd 0.667 0.333 0.741
Sm 0.333 0.667 0.492
Ho 0.667 0.333 0.251

Here is a relaxed structure of La2Nd4SmHo from Alexandria via LeMat-Bulk. Energies are from PBE.

Calculated values
- N(E_F) (states/eV/cell) = 13.52
- SG = No. 10
- magnetic moment (Bohr magnetons per cell) = 0.0
- E_form (eV/atom) = 0.020

a = 5.178 Å, b = 5.192 Å, c = 10.431 Å
α = 90.00°, β = 90.13°, γ = 90.00°
Atoms (fractional coordinates):
La 0.000 0.000 0.000
La 0.500 0.500 0.500
Nd 0.000 0.500 0.251
Nd 0.000 0.500 0.749
Nd 0.499 0.000 0.748
Nd 0.501 0.000 0.252
Sm 0.500 0.500 0.000
Ho 0.000 0.000 0.500

Here is a relaxed structure of LaNd2SmHo5 from Alexandria via LeMat-Bulk. Energies are from PBE.

Calculated values
- N(E_F) (states/eV/cell) = 19.32
- SG = No. 140
- magnetic moment (Bohr magnetons per cell) = 0.0
- E_form (eV/atom) = 0.249

a = 9.968 Å, b = 9.968 Å, c = 9.968 Å
α = 127.95°, β = 127.95°, γ = 76.71°
Atoms (fractional coordinates):
La 0.250 0.250 0.000
La 0.750 0.750 0.000
Nd 0.118 0.618 0.735
Nd 0.382 0.118 0.500
Nd 0.618 0.882 0.500
Nd 0.882 0.382 0.265
Sm 0.250 0.750 0.500
Sm 0.750 0.250 0.500
Ho 0.000 0.000 0.000
Ho 0.072 0.155 0.500
Ho 0.155 0.655 0.082
Ho 0.345 0.428 0.500
Ho 0.428 0.928 0.082
Ho 0.500 0.500 0.000
Ho 0.572 0.072 0.918
Ho 0.655 0.572 0.500
Ho 0.845 0.345 0.918
Ho 0.928 0.845 0.500

Here is a relaxed structure of LaNdSm6Ho2 from Alexandria via LeMat-Bulk. Energies are from PBE.

Calculated values
- N(E_F) (states/eV/cell) = 29.23
- SG = No. 15
- magnetic moment (Bohr magnetons per cell) = 0.0
- E_form (eV/atom) = 0.118

a = 8.926 Å, b = 8.926 Å, c = 9.717 Å
α = 93.75°, β = 93.75°, γ = 117.03°
Atoms (fractional coordinates):
La 0.094 0.906 0.750
La 0.906 0.094 0.250
Nd 0.467 0.533 0.250
Nd 0.533 0.467 0.750
Sm 0.015 0.795 0.381
Sm 0.064 0.520 0.179
Sm 0.205 0.985 0.119
Sm 0.257 0.610 0.557
Sm 0.390 0.743 0.943
Sm 0.480 0.936 0.321
Sm 0.520 0.064 0.679
Sm 0.610 0.257 0.057
Sm 0.743 0.390 0.443
Sm 0.795 0.015 0.881
Sm 0.936 0.480 0.821
Sm 0.985 0.205 0.619
Ho 0.205 0.303 0.951
Ho 0.303 0.205 0.451
Ho 0.697 0.795 0.549
Ho 0.795 0.697 0.049

Here is a relaxed structure of La4NdSm2Ho from Alexandria via LeMat-Bulk. Energies are from PBE.

Calculated values
- N(E_F) (states/eV/cell) = 11.94
- SG = No. 47
- magnetic moment (Bohr magnetons per cell) = 0.0
- E_form (eV/atom) = 0.015

a = 5.229 Å, b = 5.263 Å, c = 10.225 Å
α = 90.00°, β = 90.00°, γ = 90.00°
Atoms (fractional coordinates):
La 0.000 0.000 0.248
La 0.000 0.000 0.752
La 0.500 0.500 0.248
La 0.500 0.500 0.752
Nd 0.000 0.500 0.500
Sm 0.000 0.500 0.000
Sm 0.500 0.000 0.500
Ho 0.500 0.000 0.000

Here is a relaxed structure of La2NdSmHo5 from Alexandria via LeMat-Bulk. Energies are from PBE.

Calculated values
- N(E_F) (states/eV/cell) = 23.34
- SG = No. 140
- magnetic moment (Bohr magnetons per cell) = 0.0
- E_form (eV/atom) = 0.245

a = 10.017 Å, b = 10.017 Å, c = 10.017 Å
α = 128.66°, β = 128.66°, γ = 75.55°
Atoms (fractional coordinates):
La 0.118 0.618 0.736
La 0.382 0.118 0.500
La 0.618 0.882 0.500
La 0.882 0.382 0.264
Nd 0.250 0.750 0.500
Nd 0.750 0.250 0.500
Sm 0.250 0.250 0.000
Sm 0.750 0.750 0.000
Ho 0.000 0.000 0.000
Ho 0.073 0.146 0.500
Ho 0.146 0.646 0.073
Ho 0.354 0.427 0.500
Ho 0.427 0.927 0.073
Ho 0.500 0.500 0.000
Ho 0.573 0.073 0.927
Ho 0.646 0.573 0.500
Ho 0.854 0.354 0.927
Ho 0.927 0.854 0.500

Here is a relaxed structure of LaNdSmHo from Alexandria via LeMat-Bulk. Energies are from PBE.

Calculated values
- N(E_F) (states/eV/cell) = 8.08
- SG = No. 216
- magnetic moment (Bohr magnetons per cell) = 0.0
- E_form (eV/atom) = 0.114

a = 5.800 Å, b = 5.800 Å, c = 5.800 Å
α = 60.00°, β = 60.00°, γ = 60.00°
Atoms (fractional coordinates):
La 0.000 0.000 0.000
Nd 0.500 0.500 0.500
Sm 0.250 0.250 0.250
Ho 0.750 0.750 0.750

Here is a relaxed structure of La2Nd3SmHo6 from Alexandria via LeMat-Bulk. Energies are from PBE.

Calculated values
- N(E_F) (states/eV/cell) = 13.45
- SG = No. 12
- magnetic moment (Bohr magnetons per cell) = 0.0
- E_form (eV/atom) = 0.014

a = 6.274 Å, b = 6.274 Å, c = 11.839 Å
α = 95.06°, β = 95.06°, γ = 119.99°
Atoms (fractional coordinates):
La 0.166 0.834 0.000
La 0.834 0.166 0.000
Nd 0.000 0.000 0.500
Nd 0.333 0.667 0.500
Nd 0.667 0.333 0.500
Sm 0.500 0.500 0.000
Ho 0.083 0.416 0.749
Ho 0.251 0.251 0.251
Ho 0.416 0.083 0.749
Ho 0.584 0.917 0.251
Ho 0.749 0.749 0.749
Ho 0.917 0.584 0.251

Here is a relaxed structure of LaNd2Sm2Ho from Alexandria via LeMat-Bulk. Energies are from PBE.

Calculated values
- N(E_F) (states/eV/cell) = 17.07
- SG = No. 58
- magnetic moment (Bohr magnetons per cell) = 0.0
- E_form (eV/atom) = 0.051

a = 7.112 Å, b = 10.006 Å, c = 5.747 Å
α = 90.00°, β = 90.00°, γ = 90.00°
Atoms (fractional coordinates):
La 0.000 0.000 0.000
La 0.500 0.500 0.500
Nd 0.248 0.333 0.000
Nd 0.252 0.833 0.500
Nd 0.748 0.167 0.500
Nd 0.752 0.667 0.000
Sm 0.248 0.667 0.000
Sm 0.252 0.167 0.500
Sm 0.748 0.833 0.500
Sm 0.752 0.333 0.000
Ho 0.000 0.500 0.500
Ho 0.500 0.000 0.000

Here is a relaxed structure of La2NdSm2Ho from Alexandria via LeMat-Bulk. Energies are from PBE.

Calculated values
- N(E_F) (states/eV/cell) = 22.30
- SG = No. 58
- magnetic moment (Bohr magnetons per cell) = 0.0
- E_form (eV/atom) = 0.237

a = 6.747 Å, b = 18.257 Å, c = 3.454 Å
α = 90.00°, β = 90.00°, γ = 90.00°
Atoms (fractional coordinates):
La 0.230 0.185 0.000
La 0.270 0.685 0.500
La 0.730 0.315 0.500
La 0.770 0.815 0.000
Nd 0.000 0.500 0.000
Nd 0.500 0.000 0.500
Sm 0.226 0.354 0.500
Sm 0.274 0.854 0.000
Sm 0.726 0.146 0.000
Sm 0.774 0.646 0.500
Ho 0.000 0.000 0.000
Ho 0.500 0.500 0.500

Here is a relaxed structure of LaNd2Sm5Ho from Alexandria via LeMat-Bulk. Energies are from PBE.

Calculated values
- N(E_F) (states/eV/cell) = 23.83
- SG = No. 140
- magnetic moment (Bohr magnetons per cell) = 0.0
- E_form (eV/atom) = 0.263

a = 10.097 Å, b = 10.097 Å, c = 10.097 Å
α = 127.79°, β = 127.79°, γ = 76.97°
Atoms (fractional coordinates):
La 0.250 0.250 0.000
La 0.750 0.750 0.000
Nd 0.117 0.617 0.735
Nd 0.383 0.117 0.500
Nd 0.617 0.883 0.500
Nd 0.883 0.383 0.265
Sm 0.000 0.000 0.000
Sm 0.071 0.154 0.500
Sm 0.154 0.654 0.083
Sm 0.346 0.429 0.500
Sm 0.429 0.929 0.083
Sm 0.500 0.500 0.000
Sm 0.571 0.071 0.917
Sm 0.654 0.571 0.500
Sm 0.846 0.346 0.917
Sm 0.929 0.846 0.500
Ho 0.250 0.750 0.500
Ho 0.750 0.250 0.500

Here is a relaxed structure of LaNdSm4Ho2 from Alexandria via LeMat-Bulk. Energies are from PBE.

Calculated values
- N(E_F) (states/eV/cell) = 22.07
- SG = No. 9
- magnetic moment (Bohr magnetons per cell) = 0.0
- E_form (eV/atom) = 0.017

a = 9.592 Å, b = 9.592 Å, c = 6.285 Å
α = 102.64°, β = 102.64°, γ = 98.22°
Atoms (fractional coordinates):
La 0.063 0.937 0.500
La 0.937 0.063 0.000
Nd 0.064 0.440 0.004
Nd 0.440 0.064 0.504
Sm 0.190 0.317 0.508
Sm 0.192 0.810 0.000
Sm 0.316 0.686 0.504
Sm 0.317 0.190 0.008
Sm 0.685 0.811 0.496
Sm 0.686 0.316 0.004
Sm 0.810 0.192 0.500
Sm 0.811 0.685 0.996
Ho 0.441 0.563 0.003
Ho 0.563 0.441 0.503
Ho 0.563 0.936 0.000
Ho 0.936 0.563 0.500

Here is a relaxed structure of La4Nd2SmHo from Alexandria via LeMat-Bulk. Energies are from PBE.

Calculated values
- N(E_F) (states/eV/cell) = 12.33
- SG = No. 10
- magnetic moment (Bohr magnetons per cell) = 0.0
- E_form (eV/atom) = 0.015

a = 5.231 Å, b = 5.265 Å, c = 10.270 Å
α = 90.00°, β = 90.07°, γ = 90.00°
Atoms (fractional coordinates):
La 0.000 0.000 0.248
La 0.000 0.000 0.752
La 0.499 0.500 0.751
La 0.501 0.500 0.249
Nd 0.000 0.500 0.000
Nd 0.500 0.000 0.500
Sm 0.000 0.500 0.500
Ho 0.500 0.000 0.000

Here is a relaxed structure of La6NdSmHo2 from Alexandria via LeMat-Bulk. Energies are from PBE.

Calculated values
- N(E_F) (states/eV/cell) = 30.54
- SG = No. 15
- magnetic moment (Bohr magnetons per cell) = 0.0
- E_form (eV/atom) = 0.101

a = 9.017 Å, b = 9.017 Å, c = 9.964 Å
α = 94.67°, β = 94.67°, γ = 117.39°
Atoms (fractional coordinates):
La 0.010 0.564 0.189
La 0.105 0.755 0.554
La 0.245 0.895 0.946
La 0.298 0.507 0.378
La 0.436 0.990 0.311
La 0.493 0.702 0.122
La 0.507 0.298 0.878
La 0.564 0.010 0.689
La 0.702 0.493 0.622
La 0.755 0.105 0.054
La 0.895 0.245 0.446
La 0.990 0.436 0.811
Nd 0.407 0.593 0.750
Nd 0.593 0.407 0.250
Sm 0.026 0.974 0.250
Sm 0.974 0.026 0.750
Ho 0.194 0.287 0.046
Ho 0.287 0.194 0.546
Ho 0.713 0.806 0.454
Ho 0.806 0.713 0.954

Here is a relaxed structure of La2Nd2Sm2Ho from Alexandria via LeMat-Bulk. Energies are from PBE.

Calculated values
- N(E_F) (states/eV/cell) = 12.02
- SG = No. 12
- magnetic moment (Bohr magnetons per cell) = 0.0
- E_form (eV/atom) = 0.021

a = 6.345 Å, b = 6.345 Å, c = 8.204 Å
α = 97.50°, β = 97.50°, γ = 48.28°
Atoms (fractional coordinates):
La 0.143 0.143 0.425
La 0.857 0.857 0.575
Nd 0.285 0.285 0.860
Nd 0.715 0.715 0.140
Sm 0.430 0.430 0.283
Sm 0.570 0.570 0.717
Ho 0.000 0.000 0.000